First-principles (PBE) data for AlHg2I8 after structural relaxation, as listed in the Alexandria database.

abc: 7.2079 7.5930 12.3153
angles: 105.94 90.00 118.34
Last column: nearest neighbours and their distance in Å.
Fractional positions:
I: 0.5430 0.0859 0.6817  1 Hg 2.71
Hg: 0.6591 0.3183 0.5367  2 I 2.69-2.71
Al: 0.0000 0.0000 0.0000  4 I 2.61
I: 0.4570 0.9141 0.3183  1 Hg 2.71
I: 0.8301 0.6603 0.4661  1 Hg 2.69
I: 0.1115 0.7284 0.8882  1 Al 2.61
I: 0.8885 0.2716 0.1118  1 Al 2.61
Hg: 0.3409 0.6817 0.4633  2 I 2.69-2.71
I: 0.3831 0.2716 0.1118  1 Al 2.61
I: 0.6169 0.7284 0.8882  1 Al 2.61
I: 0.1699 0.3397 0.5339  1 Hg 2.69

## Properties
- E: -19.53 eV per cell

---

First-principles (PBE) data for TaP after structural relaxation, as listed in the Alexandria database.

abc: 9.6442 9.6442 3.7839
angles: 90.00 90.00 120.00
Last column: nearest neighbours and their distance in Å.
Fractional positions:
P: 0.8419 0.5404 0.2500  4 Ta 2.42-2.47
Ta: 0.6238 0.5964 0.2500  4 P 2.42-2.47
Ta: 0.5964 0.9727 0.7500  4 P 2.42-2.47
Ta: 0.3762 0.4036 0.7500  4 P 2.42-2.47
Ta: 0.0273 0.6238 0.7500  4 P 2.42-2.47
P: 0.3014 0.8419 0.7500  4 Ta 2.42-2.47
P: 0.5404 0.6986 0.7500  4 Ta 2.42-2.47
P: 0.6986 0.1581 0.2500  4 Ta 2.42-2.47
P: 0.4596 0.3014 0.2500  4 Ta 2.42-2.47
P: 0.1581 0.4596 0.7500  4 Ta 2.42-2.47
Ta: 0.4036 0.0273 0.2500  4 P 2.42-2.47
Ta: 0.9727 0.3762 0.2500  4 P 2.42-2.47

## Properties
- DFT formation energy: -0.037 eV per atom

---

Quick rundown of DOS at the Fermi energy, same order as above: 2.662 2.448 states/eV per cell